MnZn3O3 after structural relaxation. Source: Alexandria via LeMat-Bulk, functional PBE+U.

Values from the calculation:
* total energy: -63.4 eV per cell

a = 5.803 Å, b = 5.803 Å, c = 5.803 Å
α = 90.00°, β = 90.00°, γ = 90.00°
Fractional positions:
Mn 0.000 0.000 0.000
Mn 0.500 0.500 0.500
Zn 0.000 0.250 0.500
Zn 0.000 0.750 0.500
Zn 0.250 0.500 0.000
Zn 0.500 0.000 0.250
Zn 0.500 0.000 0.750
Zn 0.750 0.500 0.000
O 0.000 0.500 0.250
O 0.000 0.500 0.750
O 0.250 0.000 0.500
O 0.500 0.250 0.000
O 0.500 0.750 0.000
O 0.750 0.000 0.500